1:
This record from Alexandria via LeMat-Bulk describes a relaxed structure of Sc3CdRe. The functional is PBE.

Output
Its symmetry is Pm-3m. As for the total magnetic moment: 0.00 μB/atom. The volume comes out at 26.01 Å³ per atom.

Cell: 5.0661 5.0661 5.0661 Å, 90.00 90.00 90.00°
Sites, in units of the cell vectors:
Re: 0.0000 0.0000 0.0000
Cd: 0.5000 0.5000 0.5000
Sc: 0.0000 0.5000 0.0000
Sc: 0.0000 0.0000 0.5000
Sc: 0.5000 0.0000 0.0000



2:
This record from Alexandria via LeMat-Bulk describes a relaxed structure of Sc3CdRe. The functional is PBE.

Output
Its symmetry is Pm-3m. As for the total magnetic moment: 0.23 μB/atom. The volume comes out at 26.33 Å³ per atom.

Cell: 5.0870 5.0870 5.0870 Å, 90.00 90.00 90.00°
Each line ends with the local moment (μB).
Sites, in units of the cell vectors:
Sc: 0.0000 0.0000 0.5000  -0.11
Sc: 0.5000 0.0000 0.0000  -0.18
Sc: 0.0000 0.5000 0.0000  -0.12
Cd: 0.0000 0.0000 0.0000  -0.01
Re: 0.5000 0.5000 0.5000  1.68



The calculated energies rank the structures as follows, beginning with the most stable: 1, 2.



1:
This record from Alexandria via LeMat-Bulk describes a relaxed structure of Cd2ReSe. The functional is PBE.

Output
Its symmetry is I-4m2. As for the total magnetic moment: 0.42 μB/atom. The volume comes out at 19.19 Å³ per atom.

Cell: 5.2222 5.2222 5.2222 Å, 132.14 132.14 70.00°
Each line ends with the local moment (μB).
Sites, in units of the cell vectors:
Cd: 0.2500 0.7500 0.5000  0.00
Cd: 0.0000 0.0000 0.0000  -0.01
Re: 0.5000 0.5000 0.0000  1.46
Se: 0.7500 0.2500 0.5000  0.02



2:
This record from Alexandria via LeMat-Bulk describes a relaxed structure of Cd2ReSe. The functional is PBE.

Output
Its symmetry is P4mm. As for the total magnetic moment: 0.00 μB/atom. The volume comes out at 20.75 Å³ per atom.

Cell: 3.0574 3.0574 8.8786 Å, 90.00 90.00 90.00°
Sites, in units of the cell vectors:
Re: 0.0000 0.0000 0.5208
Se: 0.5000 0.5000 0.6719
Cd: 0.0000 0.0000 0.0168
Cd: 0.5000 0.5000 0.2904



3:
This record from Alexandria via LeMat-Bulk describes a relaxed structure of Cd2ReSe. The functional is PBE.

Output
Its symmetry is P4/mmm. As for the total magnetic moment: 0.08 μB/atom. The volume comes out at 20.12 Å³ per atom.

Cell: 2.8475 2.8475 9.9275 Å, 90.00 90.00 90.00°
Each line ends with the local moment (μB).
Sites, in units of the cell vectors:
Cd: 0.0000 0.0000 0.4678  0.00
Cd: 0.0000 0.0000 0.0322  0.00
Re: 0.5000 0.5000 0.2500  0.29
Se: 0.5000 0.5000 0.7500  0.00



4:
This record from Alexandria via LeMat-Bulk describes a relaxed structure of Cd2ReSe. The functional is PBE.

Output
Its symmetry is I4/mmm. As for the total magnetic moment: 0.32 μB/atom. The volume comes out at 18.84 Å³ per atom.

Cell: 5.5961 5.5961 5.5961 Å, 138.77 138.77 59.72°
Each line ends with the local moment (μB).
Sites, in units of the cell vectors:
Cd: 0.5000 0.5000 0.0000  -0.01
Cd: 0.0000 0.0000 0.0000  -0.01
Se: 0.7500 0.2500 0.5000  0.08
Re: 0.2500 0.7500 0.5000  1.06



The calculated energies rank the structures as follows, beginning with the most stable: 2, 3, 1, 4.



1:
This record from Alexandria via LeMat-Bulk describes a relaxed structure of CdRe2Se. The functional is PBE.

Output
Its symmetry is R-3m. As for the total magnetic moment: 0.00 μB/atom. The volume comes out at 16.46 Å³ per atom.

Cell: 8.9679 8.9679 8.9679 Å, 18.86 18.86 18.86°
Sites, in units of the cell vectors:
Se: 0.2500 0.2500 0.2500
Re: 0.5099 0.5099 0.5099
Re: 0.9901 0.9901 0.9901
Cd: 0.7500 0.7500 0.7500



2:
This record from Alexandria via LeMat-Bulk describes a relaxed structure of CdRe2Se. The functional is PBE.

Output
Its symmetry is P2/m. As for the total magnetic moment: 0.00 μB/atom. The volume comes out at 17.34 Å³ per atom.

Cell: 4.7534 2.7395 5.3258 Å, 89.86 90.00 90.00°
Sites, in units of the cell vectors:
Se: 0.5000 0.2500 0.2500
Re: 0.0000 0.1497 0.9858
Re: 0.0000 0.3503 0.5142
Cd: 0.5000 0.7500 0.7500



The calculated energies rank the structures as follows, beginning with the most stable: 1, 2.



1:
This record from Alexandria via LeMat-Bulk describes a relaxed structure of CdReSe. The functional is PBE.

Output
Its symmetry is P-6m2. As for the total magnetic moment: 0.00 μB/atom. The volume comes out at 17.89 Å³ per atom.

Cell: 4.6985 4.6985 2.8076 Å, 90.00 90.00 120.00°
Sites, in units of the cell vectors:
Cd: 0.0000 0.0000 0.9998
Re: 0.6667 0.3333 0.5001
Se: 0.3333 0.6667 0.5001



2:
This record from Alexandria via LeMat-Bulk describes a relaxed structure of CdReSe. The functional is PBE.

Output
Its symmetry is F-43m. As for the total magnetic moment: 0.00 μB/atom. The volume comes out at 20.43 Å³ per atom.

Cell: 4.4257 4.4257 4.4257 Å, 60.00 60.00 60.00°
Sites, in units of the cell vectors:
Se: 0.0000 0.0000 0.0000
Re: 0.2500 0.2500 0.2500
Cd: 0.5000 0.5000 0.5000



3:
This record from Alexandria via LeMat-Bulk describes a relaxed structure of CdReSe. The functional is PBE.

Output
Its symmetry is Fmm2. As for the total magnetic moment: 0.00 μB/atom. The volume comes out at 20.85 Å³ per atom.

Cell: 8.6921 8.4533 2.9257 Å, 84.82 75.60 19.59°
Sites, in units of the cell vectors:
Se: 0.7031 0.7031 0.2969
Re: 0.3221 0.3221 0.6779
Cd: 0.9748 0.9748 0.0252



4:
This record from Alexandria via LeMat-Bulk describes a relaxed structure of CdReSe. The functional is PBE.

Output
Its symmetry is P3m1. As for the total magnetic moment: 0.00 μB/atom. The volume comes out at 22.52 Å³ per atom.

Cell: 3.0985 3.0985 8.1265 Å, 90.00 90.00 120.00°
Sites, in units of the cell vectors:
Re: 0.6667 0.3333 0.3619
Cd: 0.0000 0.0000 0.0719
Se: 0.3333 0.6667 0.5662



The calculated energies rank the structures as follows, beginning with the most stable: 4, 3, 1, 2.